(1)
SiCl2 | GGA-PBE | optimized geometry

Computed properties:
Magnetic moment   0.0 μB/f.u.
Formation energy from raw total energies   -0.5848 eV/atom

```
data_SiCl2
_symmetry_space_group_name_H-M 'C 1 2/m 1'
_symmetry_Int_Tables_number 12
_cell_length_a 11.631
_cell_length_b 3.512
_cell_length_c 10.889
_cell_angle_alpha 90.00
_cell_angle_beta 112.46
_cell_angle_gamma 90.00
loop_
_symmetry_equiv_pos_as_xyz
'x,y,z'
'-x,-y,-z'
'-x,y,-z'
'x,-y,z'
'x+1/2,y+1/2,z'
'-x+1/2,-y+1/2,-z'
'-x+1/2,y+1/2,-z'
'x+1/2,-y+1/2,z'
loop_
_atom_site_label
_atom_site_type_symbol
_atom_site_fract_x
_atom_site_fract_y
_atom_site_fract_z
Si1 Si 0.244 0.000 0.195
Cl1 Cl 0.100 0.500 0.860
Cl2 Cl 0.182 0.000 0.642
```

---

(2)
SiCl3 | GGA-PBE | optimized geometry

Computed properties:
Magnetic moment   0.0 μB/f.u.
Formation energy from raw total energies   -0.5688 eV/atom

```
data_SiCl3
_symmetry_space_group_name_H-M 'I m m 2'
_symmetry_Int_Tables_number 44
_cell_length_a 3.147
_cell_length_b 11.478
_cell_length_c 6.813
_cell_angle_alpha 90.00
_cell_angle_beta 90.00
_cell_angle_gamma 90.00
loop_
_symmetry_equiv_pos_as_xyz
'x,y,z'
'-x,-y,z'
'-x,y,z'
'x,-y,z'
'x+1/2,y+1/2,z+1/2'
'-x+1/2,-y+1/2,z+1/2'
'-x+1/2,y+1/2,z+1/2'
'x+1/2,-y+1/2,z+1/2'
loop_
_atom_site_label
_atom_site_type_symbol
_atom_site_fract_x
_atom_site_fract_y
_atom_site_fract_z
Si1 Si 0.000 0.000 0.000
Cl1 Cl 0.000 0.362 0.365
Cl2 Cl 0.000 0.500 0.769
```

---

(3)
Si2Cl | GGA-PBE | optimized geometry

Computed properties:
Magnetic moment   0.0 μB/f.u.
Formation energy from raw total energies   1.1969 eV/atom

```
data_Si2Cl
_symmetry_space_group_name_H-M 'F m -3 m'
_symmetry_Int_Tables_number 225
_symmetry_space_group_name_Hall '-F 4 2 3'
_cell_length_a 6.300
_cell_length_b 6.300
_cell_length_c 6.300
_cell_angle_alpha 90.00
_cell_angle_beta 90.00
_cell_angle_gamma 90.00
loop_
_atom_site_label
_atom_site_type_symbol
_atom_site_fract_x
_atom_site_fract_y
_atom_site_fract_z
Si1 Si 0.250 0.250 0.250
Cl1 Cl 0.000 0.000 0.000
```

---

(4)
Si4Cl | GGA-PBE | optimized geometry

Computed properties:
Magnetic moment   0.0 μB/f.u.
Formation energy from raw total energies   1.3700 eV/atom

```
data_Si4Cl
_symmetry_space_group_name_H-M 'P m -3 m'
_symmetry_Int_Tables_number 221
_symmetry_space_group_name_Hall '-P 4 2 3'
_cell_length_a 4.741
_cell_length_b 4.741
_cell_length_c 4.741
_cell_angle_alpha 90.00
_cell_angle_beta 90.00
_cell_angle_gamma 90.00
loop_
_atom_site_label
_atom_site_type_symbol
_atom_site_fract_x
_atom_site_fract_y
_atom_site_fract_z
Si1 Si 0.000 0.000 0.000
Si2 Si 0.000 0.500 0.500
Cl1 Cl 0.500 0.500 0.500
```

---

(5)
Si2Cl | GGA-PBE | optimized geometry

Computed properties:
Magnetic moment   0.0 μB/f.u.
Formation energy from raw total energies   -0.3351 eV/atom

```
data_Si2Cl
_symmetry_space_group_name_H-M 'C 1 2/m 1'
_symmetry_Int_Tables_number 12
_cell_length_a 10.120
_cell_length_b 3.902
_cell_length_c 9.643
_cell_angle_alpha 90.00
_cell_angle_beta 100.24
_cell_angle_gamma 90.00
loop_
_symmetry_equiv_pos_as_xyz
'x,y,z'
'-x,-y,-z'
'-x,y,-z'
'x,-y,z'
'x+1/2,y+1/2,z'
'-x+1/2,-y+1/2,-z'
'-x+1/2,y+1/2,-z'
'x+1/2,-y+1/2,z'
loop_
_atom_site_label
_atom_site_type_symbol
_atom_site_fract_x
_atom_site_fract_y
_atom_site_fract_z
Si1 Si 0.107 0.000 0.470
Si2 Si 0.182 0.500 0.368
Cl1 Cl 0.171 0.500 0.152
```

---

(6)
SiCl2 | GGA-PBE | optimized geometry

Computed properties:
Magnetic moment   0.0 μB/f.u.
Formation energy from raw total energies   -0.0648 eV/atom

```
data_SiCl2
_symmetry_space_group_name_H-M 'P 63/m m c'
_symmetry_Int_Tables_number 194
_symmetry_space_group_name_Hall '-P 6c 2c'
_cell_length_a 4.4110
_cell_length_b 4.4110
_cell_length_c 8.1998
_cell_angle_alpha 90.00
_cell_angle_beta 90.00
_cell_angle_gamma 120.00
loop_
_atom_site_label
_atom_site_type_symbol
_atom_site_fract_x
_atom_site_fract_y
_atom_site_fract_z
Si1 Si 0.3333 0.6667 0.2500
Cl1 Cl 0.0000 0.0000 0.0000
Cl2 Cl 0.3333 0.6667 0.7500
```